Below is a geometry-optimized BaAlW2 structure, with properties calculated at the PBE level.

abc: 3.1448 5.5998 10.6340
angles: 90.00 90.00 90.00
Last column: nearest neighbours and their distance in Å.
Fractional coordinates of all 8 atoms:
Ba 0.0000 0.0000 0.0000  2 Ba 3.14, 6 W 3.23-3.43, 2 Al 3.50
Ba 0.5000 0.5000 0.5000  2 Ba 3.14, 6 W 3.23-3.43, 2 Al 3.50
Al 0.0000 0.5000 0.8026  2 W 2.92, 2 Al 3.14
Al 0.5000 0.0000 0.3026  2 W 2.92, 2 Al 3.14
W 0.0000 0.0000 0.5339  2 W 2.47
W 0.0000 0.5000 0.2130  2 W 2.47
W 0.5000 0.0000 0.7130  2 W 2.47
W 0.5000 0.5000 0.0339  2 W 2.47

Properties
Energy of formation ... 1057 meV/atom
SG ... Imm2 (44)
Total magnetic moment ... 0.0 μB/f.u.
VASP energy ... -6.84 eV/atom

---

Below is a geometry-optimized TbGaPt structure, with properties calculated at the PBE level.

abc: 11.4260 11.4260 11.4260
angles: 157.60 45.71 140.69
Last column: nearest neighbours and their distance in Å.
Fractional coordinates of all 18 atoms:
Tb 0.0000 0.0000 0.0000  6 Ga 3.03-3.18, 6 Pt 3.15-3.31
Tb 0.0813 0.9168 0.1645  5 Pt 2.93-3.12, 6 Ga 3.07-3.20
Tb 0.3447 0.0156 0.3291  5 Pt 2.95-3.09, 6 Ga 3.11-3.26
Tb 0.4273 0.9273 0.5000  6 Pt 3.04-3.12, 6 Ga 3.15-3.30
Tb 0.6865 0.0156 0.6709  5 Pt 2.95-3.09, 6 Ga 3.11-3.26
Tb 0.7523 0.9168 0.8355  5 Pt 2.93-3.12, 6 Ga 3.07-3.20
Ga 0.1897 0.2952 0.8945  4 Pt 2.57-2.82
Ga 0.3625 0.6380 0.7246  4 Pt 2.60-2.73
Ga 0.4007 0.2952 0.1055  4 Pt 2.57-2.82
Ga 0.7326 0.2971 0.4355  3 Pt 2.60-2.63, 1 Ga 2.72
Ga 0.8616 0.2971 0.5645  3 Pt 2.60-2.63, 1 Ga 2.72
Ga 0.9134 0.6380 0.2754  4 Pt 2.60-2.73
Pt 0.0345 0.6295 0.4050  4 Ga 2.57-2.73
Pt 0.0710 0.3104 0.7606  4 Ga 2.60-2.82
Pt 0.2245 0.6295 0.5950  4 Ga 2.57-2.73
Pt 0.5466 0.6228 0.9237  3 Ga 2.59-2.60
Pt 0.5497 0.3104 0.2394  4 Ga 2.60-2.82
Pt 0.6991 0.6228 0.0763  3 Ga 2.59-2.60

Properties
Energy of formation ... -1091 meV/atom
SG ... Imm2 (44)
Total magnetic moment ... 0.0 μB/f.u.
VASP energy ... -5.66 eV/atom